A plane-wave DFT calculation with PBE was carried out for a geometry-optimized ErCd structure.

The structure in POSCAR format:
```
ErCd
1.0
0.000 3.052 3.052
3.052 0.000 3.052
3.052 3.052 0.000
Er Cd
1 1
Direct
0.000 0.000 0.000 Er
0.500 0.500 0.500 Cd
```

Summary:
Formation energy ... 0.049 eV/atom
Total magnetic moment ... 0.00 μB per formula unit
SG ... Fm-3m